A relaxed structure of SrNiW2, computed with PBE.

Computed properties:
Crystal system   tetragonal
Space group   P4/mmm, No. 123
Energy of formation   871 meV per atom
Energy above the most stable polymorph in this dataset   302 meV per atom
D(E_F)   6.3 states/eV/f.u.
M_tot   0.4 μB/f.u.

Cell and atoms, written as POSCAR:
```
SrNiW2
1.0
3.266 0.000 0.000
0.000 3.266 0.000
0.000 0.000 7.488
Ni W Sr
1 2 1
Direct
0.500 0.500 0.250
0.000 0.000 0.409
0.000 0.000 0.091
0.500 0.500 0.750
```